Version a
Density functional theory data (PBE-GGA) for an optimized crystal structure of HfCd2GaPb.

The structure belongs to space group P4/mmm (No. 123); the cell edges are 5.646, 5.646 and 5.576 Å and the angles 90.00°, 90.00° and 90.00°. Symmetry generates all atoms from Hf at (0.000, 0.000, 0.000), Cd at (0.000, 0.500, 0.000), Ga at (0.500, 0.500, 0.500) and Pb at (0.000, 0.000, 0.500).


Version b
Density functional theory data (PBE-GGA) for an optimized crystal structure of HfCd2GaPb.

The structure belongs to space group P4/mmm (No. 123); the cell edges are 4.984, 4.984 and 5.480 Å and the angles 90.00°, 90.00° and 90.00°. Symmetry generates all atoms from Hf at (0.000, 0.000, 0.000), Cd at (0.000, 0.500, 0.500), Ga at (0.500, 0.500, 0.500) and Pb at (0.500, 0.500, 0.000).


Which is most stable, and by how much? version a, by 17 meV/atom.


Version a
Density functional theory data (PBE-GGA) for an optimized crystal structure of Cd2GaHg2.

The structure belongs to space group P4/mbm (No. 127); the cell edges are 7.670, 7.670 and 4.222 Å and the angles 90.00°, 90.00° and 90.00°. Symmetry generates all atoms from Cd at (0.158, 0.342, 0.000), Ga at (0.000, 0.000, 0.500) and Hg at (0.147, 0.647, 0.500).


Version b
Density functional theory data (PBE-GGA) for an optimized crystal structure of Cd2GaHg2.

The structure belongs to space group I4/mmm (No. 139); the cell edges are 4.245, 4.245 and 14.298 Å and the angles 90.00°, 90.00° and 90.00°. Symmetry generates all atoms from Cd at (0.000, 0.000, 0.098), Ga at (0.000, 0.000, 0.500) and Hg at (0.000, 0.500, 0.250).


Which is most stable, and by how much? version a, by 37 meV/atom.


Version a
Density functional theory data (PBE-GGA) for an optimized crystal structure of Cd2GaHg2.

The structure belongs to space group P4/mbm (No. 127); the cell edges are 7.824, 7.824 and 4.039 Å and the angles 90.00°, 90.00° and 90.00°. Symmetry generates all atoms from Cd at (0.136, 0.364, 0.000), Ga at (0.000, 0.000, 0.000) and Hg at (0.170, 0.670, 0.500).


Version b
Density functional theory data (PBE-GGA) for an optimized crystal structure of Cd2GaHg2.

The structure belongs to space group I4/mmm (No. 139); the cell edges are 4.255, 4.255 and 14.202 Å and the angles 90.00°, 90.00° and 90.00°. Symmetry generates all atoms from Cd at (0.000, 0.500, 0.250), Ga at (0.000, 0.000, 0.000) and Hg at (0.000, 0.000, 0.400).


Which is most stable, and by how much? version a, by 26 meV/atom.


Version a
Density functional theory data (PBE-GGA) for an optimized crystal structure of Cd6Ga2Hg.

The structure belongs to space group C2/m (No. 12); the cell edges are 5.548, 16.106 and 5.004 Å and the angles 90.00°, 114.87° and 90.00°. Symmetry generates all atoms from Cd at (0.163, 0.000, 0.335), Cd at (0.167, 0.331, 0.829), Ga at (0.000, 0.166, 0.500) and Hg at (0.000, 0.500, 0.000).


Version b
Density functional theory data (PBE-GGA) for an optimized crystal structure of Cd6Ga2Hg.

The structure belongs to space group C2/m (No. 12); the cell edges are 9.328, 7.023 and 6.900 Å and the angles 90.00°, 113.74° and 90.00°. Symmetry generates all atoms from Cd at (0.091, 0.226, 0.234), Cd at (0.214, 0.500, 0.956), Ga at (0.151, 0.000, 0.605) and Hg at (0.000, 0.500, 0.500).


Which is most stable, and by how much? version a, by 26 meV/atom.


Version a
Density functional theory data (PBE-GGA) for an optimized crystal structure of Cd5GaHg4.

The structure belongs to space group P4/mmm (No. 123); the cell edges are 3.697, 3.697 and 17.427 Å and the angles 90.00°, 90.00° and 90.00°. Symmetry generates all atoms from Cd at (0.000, 0.000, 0.000), Cd at (0.000, 0.000, 0.203), Cd at (0.000, 0.000, 0.405), Ga at (0.500, 0.500, 0.500), Hg at (0.500, 0.500, 0.101) and Hg at (0.500, 0.500, 0.305).


Version b
Density functional theory data (PBE-GGA) for an optimized crystal structure of Cd5GaHg4.

The structure belongs to space group C2/m (No. 12); the cell edges are 15.451, 3.851 and 8.429 Å and the angles 90.00°, 108.67° and 90.00°. Symmetry generates all atoms from Cd at (0.000, 0.000, 0.000), Cd at (0.100, 0.500, 0.801), Cd at (0.200, 0.000, 0.606), Ga at (0.000, 0.000, 0.500), Hg at (0.099, 0.500, 0.312) and Hg at (0.198, 0.000, 0.101).


Which is most stable, and by how much? version b, by 12 meV/atom.


Version a
Density functional theory data (PBE-GGA) for an optimized crystal structure of Cd12Ga2Hg5.

The structure belongs to space group C2/m (No. 12); the cell edges are 15.952, 7.344 and 8.565 Å and the angles 90.00°, 103.55° and 90.00°. Symmetry generates all atoms from Cd at (0.024, 0.000, 0.333), Cd at (0.037, 0.500, 0.193), Cd at (0.140, 0.242, 0.600), Cd at (0.189, 0.296, 0.125), Ga at (0.000, 0.180, 0.000), Hg at (0.000, 0.500, 0.500), Hg at (0.151, 0.000, 0.891) and Hg at (0.214, 0.000, 0.372).


Version b
Density functional theory data (PBE-GGA) for an optimized crystal structure of Cd12Ga2Hg5.

The structure belongs to space group C2/m (No. 12); the cell edges are 15.995, 11.012 and 5.246 Å and the angles 90.00°, 104.89° and 90.00°. Symmetry generates all atoms from Cd at (0.058, 0.000, 0.279), Cd at (0.099, 0.253, 0.607), Cd at (0.103, 0.500, 0.051), Cd at (0.198, 0.251, 0.200), Ga at (0.000, 0.244, 0.000), Hg at (0.000, 0.500, 0.500), Hg at (0.166, 0.000, 0.842) and Hg at (0.218, 0.500, 0.595).


Which is most stable, and by how much? version b, by 36 meV/atom.


Version a
Density functional theory data (PBE-GGA) for an optimized crystal structure of Cd2GaHg.

The structure belongs to space group P4/mmm (No. 123); the cell edges are 4.762, 4.762 and 4.037 Å and the angles 90.00°, 90.00° and 90.00°. Symmetry generates all atoms from Cd at (0.000, 0.500, 0.000), Ga at (0.000, 0.000, 0.500) and Hg at (0.500, 0.500, 0.500).


Version b
Density functional theory data (PBE-GGA) for an optimized crystal structure of Cd2GaHg.

The structure belongs to space group Fm-3m (No. 225); the cell edges are 7.154, 7.154 and 7.154 Å and the angles 90.00°, 90.00° and 90.00°. Symmetry generates all atoms from Cd at (0.250, 0.250, 0.250), Ga at (0.000, 0.000, 0.000) and Hg at (0.000, 0.000, 0.500).


Version c
Density functional theory data (PBE-GGA) for an optimized crystal structure of Cd2GaHg.

The structure belongs to space group I4/mmm (No. 139); the cell edges are 4.417, 4.417 and 18.563 Å and the angles 90.00°, 90.00° and 90.00°. Symmetry generates all atoms from Cd at (0.000, 0.000, 0.129), Cd at (0.000, 0.500, 0.000), Ga at (0.000, 0.500, 0.250) and Hg at (0.000, 0.000, 0.373).


Version d
Density functional theory data (PBE-GGA) for an optimized crystal structure of Cd2GaHg.

The structure belongs to space group I-42d (No. 122); the cell edges are 8.105, 8.105 and 5.919 Å and the angles 90.00°, 90.00° and 90.00°. Symmetry generates all atoms from Cd at (0.235, 0.250, 0.125), Ga at (0.000, 0.000, 0.000) and Hg at (0.000, 0.000, 0.500).


Which is most stable, and by how much? version c, by 13 meV/atom.


Version a
Density functional theory data (PBE-GGA) for an optimized crystal structure of Cd8GaHg2.

The structure belongs to space group C2/m (No. 12); the cell edges are 7.609, 13.802 and 5.421 Å and the angles 90.00°, 112.19° and 90.00°. Symmetry generates all atoms from Cd at (0.000, 0.213, 0.000), Cd at (0.098, 0.500, 0.794), Cd at (0.210, 0.111, 0.677), Ga at (0.000, 0.000, 0.000) and Hg at (0.000, 0.303, 0.500).


Version b
Density functional theory data (PBE-GGA) for an optimized crystal structure of Cd8GaHg2.

The structure belongs to space group C2/m (No. 12); the cell edges are 13.425, 5.286 and 7.996 Å and the angles 90.00°, 111.99° and 90.00°. Symmetry generates all atoms from Cd at (0.039, 0.000, 0.346), Cd at (0.064, 0.500, 0.876), Cd at (0.215, 0.500, 0.555), Cd at (0.231, 0.000, 0.776), Ga at (0.000, 0.500, 0.500) and Hg at (0.137, 0.000, 0.059).


Which is most stable, and by how much? version b, by 24 meV/atom.